Compound: Ba2YTlSn2O7
Source: Alexandria via LeMat-Bulk
Functional: PBE
Structure: relaxed

## Properties
**ΔE_f (raw)**: -1.962 eV/atom
**E**: -6.2228 eV/atom

Cell lengths 4.232, 4.232, 13.178 Å; angles 90.00, 90.00, 90.00 degrees
Sites, in units of the cell vectors:
Ba  0.000  0.000  0.187
Ba  0.000  0.000  0.813
Y  0.000  0.000  0.500
Tl  0.500  0.500  0.000
Sn  0.500  0.500  0.365
Sn  0.500  0.500  0.635
O  0.000  0.000  0.000
O  0.000  0.500  0.393
O  0.000  0.500  0.607
O  0.500  0.000  0.393
O  0.500  0.000  0.607
O  0.500  0.500  0.209
O  0.500  0.500  0.791

=====

Compound: Ba3TmSn2O9
Source: Alexandria via LeMat-Bulk
Functional: PBE
Structure: relaxed

## Properties
**ΔE_f (raw)**: -2.414 eV/atom
**E**: -6.6055 eV/atom

Cell lengths 6.017, 6.017, 7.379 Å; angles 90.00, 90.00, 120.00 degrees
Sites, in units of the cell vectors:
Ba  0.000  0.000  0.000
Ba  0.333  0.667  0.667
Ba  0.667  0.333  0.333
Tm  0.000  0.000  0.500
Sn  0.333  0.667  0.166
Sn  0.667  0.333  0.834
O  0.000  0.500  0.000
O  0.171  0.342  0.325
O  0.171  0.829  0.325
O  0.342  0.171  0.675
O  0.500  0.000  0.000
O  0.500  0.500  0.000
O  0.658  0.829  0.325
O  0.829  0.171  0.675
O  0.829  0.658  0.675

=====

Compound: Ba4TmSn3O12
Source: Alexandria via LeMat-Bulk
Functional: PBE
Structure: relaxed

## Properties
**ΔE_f (raw)**: -2.360 eV/atom
**E**: -6.5438 eV/atom

Cell lengths 7.345, 7.345, 7.345 Å; angles 109.47, 109.47, 109.47 degrees
Sites, in units of the cell vectors:
Ba  0.000  0.000  0.500
Ba  0.000  0.500  0.000
Ba  0.500  0.000  0.000
Ba  0.500  0.500  0.500
Tm  0.000  0.000  0.000
Sn  0.000  0.500  0.500
Sn  0.500  0.000  0.500
Sn  0.500  0.500  0.000
O  0.000  0.259  0.259
O  0.000  0.741  0.741
O  0.250  0.500  0.750
O  0.250  0.750  0.500
O  0.259  0.000  0.259
O  0.259  0.259  0.000
O  0.500  0.250  0.750
O  0.500  0.750  0.250
O  0.741  0.000  0.741
O  0.741  0.741  0.000
O  0.750  0.250  0.500
O  0.750  0.500  0.250

=====

Compound: Ba2USnO6
Source: Alexandria via LeMat-Bulk
Functional: PBE
Structure: relaxed

## Properties
**ΔE_f (raw)**: -2.654 eV/atom
**E**: -7.5430 eV/atom

Cell lengths 4.375, 4.375, 8.758 Å; angles 90.00, 90.00, 90.00 degrees
Sites, in units of the cell vectors:
Ba  0.000  0.000  0.227
Ba  0.000  0.000  0.773
U  0.500  0.500  0.500
Sn  0.500  0.500  0.000
O  0.000  0.500  0.000
O  0.000  0.500  0.500
O  0.500  0.000  0.000
O  0.500  0.000  0.500
O  0.500  0.500  0.256
O  0.500  0.500  0.744

=====

Question: Look up the ΔE_f (raw) of the fourth one.
Answer: -2.654 eV/atom